# 1
# SmDy2Th3Bi6, optimized geometry, DFT PBE
# V in Å³ per cell: 799.5
# Uncorrected energy in eV/atom: -5.6792
# Calculated formation energy in meV per atom: -723.4
data_SmDy2Th3Bi6
_cell_length_a 19.8351
_cell_length_b 4.5576
_cell_length_c 9.0788
_cell_angle_alpha 90.00
_cell_angle_beta 103.07
_cell_angle_gamma 90.00
_space_group_name_H-M_alt 'C 1 2/m 1'
_space_group_IT_number 12
_space_group_name_Hall '-C 2y'
loop_
_atom_site_label
_atom_site_fract_x
_atom_site_fract_y
_atom_site_fract_z
Sm1 0.0000 0.0000 0.0000
Dy1 0.1666 0.5000 0.3329
Th1 0.0000 0.0000 0.5000
Th2 0.1654 0.5000 0.8327
Bi1 0.0027 0.5000 0.2488
Bi2 0.1666 0.0000 0.0894
Bi3 0.1689 0.0000 0.5780

# 2
# Sm2Dy3ThBi6, optimized geometry, DFT PBE
# V in Å³ per cell: 785.8
# Uncorrected energy in eV/atom: -5.3378
# Calculated formation energy in meV per atom: -841.9
data_Sm2Dy3ThBi6
_cell_length_a 19.6913
_cell_length_b 4.5290
_cell_length_c 9.0469
_cell_angle_alpha 90.00
_cell_angle_beta 103.11
_cell_angle_gamma 90.00
_space_group_name_H-M_alt 'C 1 2/m 1'
_space_group_IT_number 12
_space_group_name_Hall '-C 2y'
loop_
_atom_site_label
_atom_site_fract_x
_atom_site_fract_y
_atom_site_fract_z
Sm1 0.1679 0.0000 0.3355
Dy1 0.0000 0.5000 0.5000
Dy2 0.1671 0.0000 0.8317
Th1 0.0000 0.5000 0.0000
Bi1 0.0009 0.0000 0.7448
Bi2 0.1651 0.5000 0.5863
Bi3 0.1684 0.5000 0.0801

# 3
# SmDy2ThBi4, optimized geometry, DFT PBE
# V in Å³ per cell: 262.5
# Uncorrected energy in eV/atom: -5.4222
# Calculated formation energy in meV per atom: -813.8
data_SmDy2ThBi4
_cell_length_a 7.8264
_cell_length_b 4.5369
_cell_length_c 7.8433
_cell_angle_alpha 90.00
_cell_angle_beta 109.50
_cell_angle_gamma 90.00
_space_group_name_H-M_alt 'P 1 2/m 1'
_space_group_IT_number 10
_space_group_name_Hall '-P 2y'
loop_
_atom_site_label
_atom_site_fract_x
_atom_site_fract_y
_atom_site_fract_z
Sm1 0.0000 0.0000 0.0000
Dy1 0.5000 0.0000 0.5000
Dy2 0.5000 0.5000 0.0000
Th1 0.0000 0.5000 0.5000
Bi1 0.2563 0.5000 0.2512
Bi2 0.2579 0.0000 0.7540

no.,magnetization (μB per atom)
1,0.000
2,0.000
3,0.000